4
Lattice="-2.2353 2.2353 5.6357 2.2353 -2.2353 5.6357 2.2353 2.2353 -5.6357" Properties=species:S:1:pos:R:3 comment="TePPb2 | Alexandria via LeMat-Bulk | PBE | relaxed" total_magnetization_mub_per_fu=0.0 polymorph_energy_ev_per_atom=0.292 space_group="No. 119" pbc="T T T"
Pb 2.2353 0.0000 2.8178
Pb 0.0000 0.0000 0.0000
P 0.0000 2.2353 2.8178
Te 0.0000 0.0000 5.6357

---

4
Lattice="-2.5446 5.8160 7.7801 -1.4371 2.6727 9.5719 1.1263 5.2381 8.4926" Properties=species:S:1:pos:R:3 comment="Te2PPb | Alexandria via LeMat-Bulk | PBE | relaxed" total_magnetization_mub_per_fu=0.0 polymorph_energy_ev_per_atom=0.132 space_group="No. 166" pbc="T T T"
Pb 0.0000 0.0000 0.0000
P -1.4277 6.8634 12.9223
Te -0.3125 1.5021 2.8280
Te -2.5430 12.2248 23.0165

---

28
Lattice="7.2253 0.0000 0.0000 0.0000 7.4660 0.0000 0.0000 0.0000 17.9069" Properties=species:S:1:pos:R:3 comment="TeP2Pb4 | Alexandria via LeMat-Bulk | PBE | relaxed" dft_energy_ev_per_atom=-4.05 total_magnetization_mub_per_fu=0.0 space_group="No. 60" pbc="T T T"
Pb 4.0737 5.7362 14.2676
Pb 6.7643 2.0032 5.3142
P 1.8063 0.0000 5.6339
Pb 4.5046 5.7025 1.4621
Te 1.8063 0.0000 1.2139
Te 1.8063 3.7330 10.1673
Pb 3.1516 1.7298 3.6392
Te 5.4190 3.7330 7.7395
Pb 4.0737 5.4628 5.3142
Pb 6.3334 1.9695 10.4155
Pb 0.8920 5.4964 7.4913
P 1.8063 3.7330 5.6019
Pb 0.8920 5.7025 16.4447
P 5.4190 3.7330 3.3195
P 1.8063 3.7330 14.5873
P 1.8063 0.0000 14.5553
P 5.4190 3.7330 12.3050
Te 5.4190 0.0000 16.6930
Pb 2.7207 1.7635 16.4447
Pb 6.7643 1.7298 14.2676
Pb 0.4611 5.4628 12.5927
Pb 3.1516 2.0032 12.5927
Pb 2.7207 1.9695 7.4913
Pb 0.4611 5.7362 3.6392
P 5.4190 0.0000 3.3516
Pb 4.5046 5.4964 10.4155
Pb 6.3334 1.7635 1.4621
P 5.4190 0.0000 12.2730

---

4
Lattice="-2.2191 2.9209 4.4633 2.2191 -2.9209 4.4633 2.2191 2.9209 -4.4633" Properties=species:S:1:pos:R:3 comment="TePPb2 | Alexandria via LeMat-Bulk | PBE | relaxed" total_magnetization_mub_per_fu=0.0 polymorph_energy_ev_per_atom=0.243 space_group="No. 71" pbc="T T T"
Te 2.2191 0.0000 0.0000
Pb 0.0000 0.0000 2.6077
Pb 0.0000 0.0000 6.3190
P 0.0000 2.9209 0.0000

---

4
Lattice="4.2040 0.0000 0.0000 0.0000 4.4618 -0.0305 0.0000 1.2538 6.2837" Properties=species:S:1:pos:R:3 comment="TePPb2 | Alexandria via LeMat-Bulk | PBE | relaxed" total_magnetization_mub_per_fu=0.0 polymorph_energy_ev_per_atom=0.136 space_group="No. 10" pbc="T T T"
P 2.1020 2.2309 -0.0153
Te 2.1020 2.8578 3.1266
Pb 0.0000 4.7960 4.8332
Pb 0.0000 0.9196 1.4200

---

4
Lattice="-4.2870 -1.6295 4.1373 -0.4053 4.5531 4.1540 -0.7838 -1.2085 -6.0063" Properties=species:S:1:pos:R:3 comment="Te2PPb | Alexandria via LeMat-Bulk | PBE | relaxed" total_magnetization_mub_per_fu=0.0 polymorph_energy_ev_per_atom=0.224 space_group="No. 44" pbc="T T T"
Pb -3.3647 -0.9023 0.5308
P -2.2110 1.3776 3.9067
Te -1.9547 2.5198 1.4772
Te -0.2919 0.1819 0.5159

---

4
Lattice="3.6513 0.0000 0.0000 0.0000 3.6513 0.0000 0.0000 0.0000 7.7943" Properties=species:S:1:pos:R:3 comment="Te2PPb | Alexandria via LeMat-Bulk | PBE | relaxed" total_magnetization_mub_per_fu=0.0 polymorph_energy_ev_per_atom=0.335 space_group="No. 123" pbc="T T T"
P 1.8257 1.8257 0.0000
Te 0.0000 0.0000 6.1115
Te 0.0000 0.0000 1.6828
Pb 1.8257 1.8257 3.8971

---

16
Lattice="8.8888 -0.0015 0.0000 0.2987 8.8838 0.0000 -4.5938 -4.4412 6.1794" Properties=species:S:1:pos:R:3 comment="Te4PPb3 | Alexandria via LeMat-Bulk | PBE | relaxed" dft_energy_ev_per_atom=-3.53 total_magnetization_mub_per_fu=0.0 space_group="No. 140" pbc="T T T"
P 0.0000 0.0000 0.0000
Te 6.7961 5.1847 3.0897
Te 3.7763 2.2652 3.0897
Pb 6.8906 6.6617 0.0000
Pb 6.7413 2.2198 1.1750
Te 3.6574 -0.7616 5.1832
Pb 0.8167 -0.8448 3.0897
Te -2.2023 -0.7436 3.0897
Pb 3.7770 5.2859 3.0897
Pb 2.2969 2.2206 0.0000
P 4.5938 4.4411 0.0000
Pb -2.1475 2.2213 5.0043
Te 0.6376 -3.6811 5.1832
Te 3.9562 8.1222 0.9962
Te 0.8175 2.1760 3.0897
Te 0.9363 5.2027 0.9962

---

4
Lattice="-3.2071 -0.4294 -2.8443 1.8167 -3.5442 -1.5133 -1.6969 -7.2409 3.0065" Properties=species:S:1:pos:R:3 comment="TePPb2 | Alexandria via LeMat-Bulk | PBE | relaxed" total_magnetization_mub_per_fu=0.0 polymorph_energy_ev_per_atom=0.066 space_group="No. 6" pbc="T T T"
P -2.0468 -8.8575 0.3825
Te 0.3439 -5.0999 0.3822
Pb -1.7482 -3.0971 -0.8239
Pb -1.2733 -6.7933 2.4613

---

4
Lattice="8.1388 -2.1198 -0.0204 8.1388 2.1198 -0.0204 7.5958 0.0000 3.6108" Properties=species:S:1:pos:R:3 comment="TePPb2 | Alexandria via LeMat-Bulk | PBE | relaxed" total_magnetization_mub_per_fu=0.0 polymorph_energy_ev_per_atom=0.136 space_group="No. 160" pbc="T T T"
Pb 18.1124 0.0000 2.7085
P 6.2850 0.0000 0.9398
Te 11.9108 0.0000 1.7811
Pb 23.3752 0.0000 3.4954

---

4
Lattice="3.7181 0.0000 0.0000 0.0000 5.2843 0.0000 0.0000 0.0000 5.3873" Properties=species:S:1:pos:R:3 comment="Te2PPb | Alexandria via LeMat-Bulk | PBE | relaxed" total_magnetization_mub_per_fu=0.0 polymorph_energy_ev_per_atom=0.369 space_group="No. 47" pbc="T T T"
Te 1.8591 2.6421 0.0000
Pb 0.0000 2.6421 2.6937
Te 0.0000 0.0000 0.0000
P 1.8591 0.0000 2.6937

---

4
Lattice="-1.1988 2.4320 -3.0425 -5.0902 -0.1582 1.8792 -0.8145 4.1461 3.6351" Properties=species:S:1:pos:R:3 comment="Te2PPb | Alexandria via LeMat-Bulk | PBE | relaxed" total_magnetization_mub_per_fu=0.0 polymorph_energy_ev_per_atom=0.103 space_group="No. 10" pbc="T T T"
Te -1.7035 2.9408 3.0220
P -1.0067 3.2891 0.2963
Te -4.2012 1.0471 2.4924
Pb -3.1445 1.1369 -0.5816